Record 1
VASP calculation (PBE) on a geometry-optimized CrAgS2Cl structure.

a b c (Å): 4.382 4.382 5.175
angles (deg): 90.00 90.00 90.00
Sites, in units of the cell vectors:
Cr: 0.000 0.000 0.000
S: 0.000 0.500 0.000
S: 0.500 0.000 0.000
Ag: 0.500 0.500 0.500
Cl: 0.000 0.000 0.500

## Properties
Spin magnetization in μB per formula unit: 0.00
Density in kg/m³: 4335
Polymorph energy (0 for the lowest one) in eV/f.u.: 0.00
Space-group type: P4/mmm (123)
E_form (uncorrected) in meV per atom: 31.9

Record 2
VASP calculation (PBE) on a geometry-optimized PmSm2Pu structure.

a b c (Å): 3.504 3.504 12.614
angles (deg): 82.02 82.02 60.00
Sites, in units of the cell vectors:
Pm: 0.500 0.500 0.500
Sm: 0.088 0.088 0.737
Sm: 0.912 0.912 0.263
Pu: 0.000 0.000 0.000

## Properties
Energy of formation in meV/atom: 270
Spin magnetization in μB per formula unit: 6.46
Density in kg/m³: 8649
Polymorph energy (0 for the lowest one) in eV/f.u.: 0.63
Space-group type: R-3m (166)

Record 3
VASP calculation (PBE) on a geometry-optimized KCoNi2 structure.

a b c (Å): 4.208 4.208 6.867
angles (deg): 85.62 85.62 36.42
Sites, in units of the cell vectors:
Co: 0.750 0.750 0.750
K: 0.250 0.250 0.250
Ni: 0.018 0.018 0.891
Ni: 0.482 0.482 0.609

## Properties
Energy of formation in meV/atom: 566
Spin magnetization in μB per formula unit: 2.85
Density in kg/m³: 4972
Polymorph energy (0 for the lowest one) in eV/f.u.: 0.15
Space-group type: C2/m (12)

Record 4
VASP calculation (PBE) on a geometry-optimized Si2MoRuBr structure.

a b c (Å): 4.799 4.799 4.804
angles (deg): 90.00 90.00 90.00
Sites, in units of the cell vectors:
Ru: 0.000 0.000 0.500
Mo: 0.000 0.000 0.000
Si: 0.000 0.500 0.000
Si: 0.500 0.000 0.000
Br: 0.500 0.500 0.500

## Properties
Spin magnetization in μB per formula unit: 0.78
Density in kg/m³: 4998
Space-group type: P4/mmm (123)
E_form (uncorrected) in meV per atom: 979.2

Record 5
VASP calculation (PBE) on a geometry-optimized Ni2Hg2Au structure.

a b c (Å): 6.666 6.666 3.835
angles (deg): 90.00 90.00 90.00
Sites, in units of the cell vectors:
Ni: 0.373 0.873 0.000
Ni: 0.873 0.627 0.000
Ni: 0.627 0.127 0.000
Ni: 0.127 0.373 0.000
Au: 0.000 0.000 0.000
Au: 0.500 0.500 0.000
Hg: 0.170 0.670 0.500
Hg: 0.670 0.830 0.500
Hg: 0.830 0.330 0.500
Hg: 0.330 0.170 0.500

## Properties
Energy of formation in meV/atom: 156
Spin magnetization in μB per formula unit: 0.00
Density in kg/m³: 13942
Polymorph energy (0 for the lowest one) in eV/f.u.: 0.00
Space-group type: P4/mbm (127)

Record 6
VASP calculation (PBE) on a geometry-optimized BaLiGe structure.

a b c (Å): 4.386 4.885 10.526
angles (deg): 83.15 89.36 116.70
Sites, in units of the cell vectors:
Ba: 0.328 0.641 0.207
Ba: 0.672 0.359 0.793
Li: 0.646 0.289 0.452
Li: 0.354 0.711 0.548
Ge: 0.036 0.078 0.609
Ge: 0.964 0.922 0.391

## Properties
Energy of formation in meV/atom: -379
Spin magnetization in μB per formula unit: 0.00
Density in kg/m³: 3611
Space-group type: P-1 (2)

Record 7
VASP calculation (PBE) on a geometry-optimized HfMgTi2H structure.

a b c (Å): 4.241 4.241 4.317
angles (deg): 90.00 90.00 90.00
Sites, in units of the cell vectors:
H: 0.000 0.000 0.000
Mg: 0.500 0.500 0.500
Hf: 0.000 0.000 0.500
Ti: 0.000 0.500 0.000
Ti: 0.500 0.000 0.000

## Properties
Spin magnetization in μB per formula unit: 0.00
Density in kg/m³: 6406
Polymorph energy (0 for the lowest one) in eV/f.u.: 0.00
Space-group type: P4/mmm (123)

Record 8
VASP calculation (PBE) on a geometry-optimized Rb2SrBr6Cl structure.

a b c (Å): 8.823 8.823 8.287
angles (deg): 57.84 57.84 90.00
Sites, in units of the cell vectors:
Sr: 0.000 0.000 0.000
Br: 0.281 0.281 0.439
Br: 0.719 0.719 0.561
Br: 0.236 0.236 0.000
Br: 0.764 0.764 0.000
Br: 0.764 0.236 0.000
Br: 0.236 0.764 0.000
Rb: 0.750 0.250 0.500
Rb: 0.250 0.750 0.500
Cl: 0.500 0.500 0.000

## Properties
Spin magnetization in μB per formula unit: 1.00
Density in kg/m³: 3024
Space-group type: I4/mmm (139)
E_form (uncorrected) in meV per atom: -1121.5